(1)
The following is a DFT calculation (PBE) of crystalline Sc6InHg8 at its relaxed geometry.

Calculated values
total DFT energy (no corrections): -140.6 eV/cell
calculated formation energy: -360 kJ/mol of formula units

a = 8.3799 Å, b = 8.3799 Å, c = 17.9944 Å
α = 90.00°, β = 90.00°, γ = 120.00°
Space group R-3 (No. 148, hexagonal axes)
One atom of each set of equivalent atoms:
Sc 0.0046 0.7039 0.1087
In 0.0000 0.0000 0.5000
Hg 0.0000 0.0000 0.1936
Hg 0.0018 0.3603 0.0526

(2)
The following is a DFT calculation (PBE) of crystalline Co2B2Pt at its relaxed geometry.

Calculated values
total DFT energy (no corrections): -67.4 eV/cell
calculated formation energy: -11 kJ/mol of formula units

a = 3.3917 Å, b = 3.3917 Å, c = 8.4396 Å
α = 90.00°, β = 90.00°, γ = 90.00°
Space group I4/mmm (No. 139)
One atom of each set of equivalent atoms:
Co 0.0000 0.5000 0.2500
B 0.0000 0.0000 0.1115
Pt 0.0000 0.0000 0.5000